# 1
ZnSeN2Cl: optimized geometry, PBE-GGA.

The structure belongs to space group P4/mmm (No. 123); the cell edges are 3.628, 3.628 and 7.842 Å and the angles 90.00°, 90.00° and 90.00°. The inequivalent atoms are Zn at (0.000, 0.000, 0.000), Se at (0.500, 0.500, 0.000), N at (0.000, 0.500, 0.500) and Cl at (0.500, 0.500, 0.500).

Its raw formation energy is 184 kJ/mol of atoms. The magnetization comes out at 0.86 μB per formula unit. Its electronic total energy is -2.74 eV per atom. For the calculated volume, the calculation gives 103.22 Å³/cell.

---

# 2
CuGeI3: optimized geometry, PBE-GGA.

The structure belongs to space group I4/mcm (No. 140); the cell edges are 8.089, 8.089 and 11.021 Å and the angles 90.00°, 90.00° and 90.00°. The inequivalent atoms are Cu at (0.000, 0.500, 0.250), Ge at (0.000, 0.000, 0.000), I at (0.000, 0.000, 0.250) and I at (0.159, 0.341, 0.000).

Its raw formation energy is 20 kJ/mol of atoms. The magnetization comes out at 0.00 μB per formula unit. Its electronic total energy is -2.47 eV per atom. For the calculated volume, the calculation gives 721.08 Å³/cell.

---

# 3
Ca2HoPt3: optimized geometry, PBE-GGA.

The structure belongs to space group Cmmm (No. 65); the cell edges are 4.914, 14.798 and 7.026 Å and the angles 90.00°, 90.00° and 90.00°. The inequivalent atoms are Ca at (0.000, 0.000, 0.000), Ca at (0.000, 0.000, 0.500), Ca at (0.000, 0.334, 0.000), Ho at (0.000, 0.337, 0.500), Pt at (0.000, 0.173, 0.269) and Pt at (0.000, 0.500, 0.257).

The formation energy comes out at -1038 meV per atom. The magnetization comes out at 0.00 μB per formula unit. Its electronic total energy is -5.49 eV per atom. For the calculated volume, the calculation gives 510.92 Å³/cell.

---

# 4
YRePb: optimized geometry, PBE-GGA.

The structure belongs to space group P-6m2 (No. 187); the cell edges are 4.9552, 4.9552 and 3.1428 Å and the angles 90.00°, 90.00° and 120.00°. The inequivalent atoms are Y at (0.0000, 0.0000, 0.0000), Re at (0.3333, 0.6667, 0.5000) and Pb at (0.6667, 0.3333, 0.5000).

The formation energy comes out at 410 meV per atom. The magnetization comes out at 0.00 μB per formula unit. Its electronic total energy is -7.13 eV per atom. For the calculated volume, the calculation gives 66.83 Å³/cell.

---

# 5
MgPtSe2Br: optimized geometry, PBE-GGA.

The structure belongs to space group P4/mmm (No. 123); the cell edges are 5.017, 5.017 and 5.109 Å and the angles 90.00°, 90.00° and 90.00°. The inequivalent atoms are Mg at (0.000, 0.000, 0.000), Pt at (0.500, 0.500, 0.500), Se at (0.000, 0.500, 0.500) and Br at (0.500, 0.500, 0.000).

Its raw formation energy is 3 kJ/mol of atoms. The magnetization comes out at 0.00 μB per formula unit. Its electronic total energy is -3.22 eV per atom. For the calculated volume, the calculation gives 128.60 Å³/cell.

---

# 6
LiCuTcGe: optimized geometry, PBE-GGA.

The structure belongs to space group F-43m (No. 216); the cell edges are 5.993, 5.993 and 5.993 Å and the angles 90.00°, 90.00° and 90.00°. The inequivalent atoms are Li at (0.000, 0.000, 0.000), Cu at (0.250, 0.250, 0.750), Tc at (0.000, 0.000, 0.500) and Ge at (0.250, 0.250, 0.250).

The formation energy comes out at -28 meV per atom. The magnetization comes out at 0.00 μB per formula unit. Its electronic total energy is -5.28 eV per atom. For the calculated volume, the calculation gives 215.30 Å³/cell.